No. 1
The following is a SCAN calculation of a crystal of CaTiP2O relaxed with PBEsol, from Alexandria.

Calculated values
For the uncorrected formation energy, the calculation gives -1.212 eV per atom. Its energy above the most stable polymorph in this dataset is 0.00 eV per formula unit. The calculation puts the calculated volume at 89.3 Å³/cell. Its crystal system is tetragonal. Its space group is No. 123.

Lattice parameters (Å, degrees): 3.744 4.883 4.883 90.00 90.00 90.00
Sites, in units of the cell vectors:
P  0.000  0.500  0.000
Ti  0.000  0.000  0.000
O  0.500  0.000  0.000
Ca  0.500  0.500  0.500
P  0.000  0.000  0.500


No. 2
The following is a SCAN calculation of a crystal of CaTi2P2O10 relaxed with PBEsol, from Alexandria.

Calculated values
For the uncorrected formation energy, the calculation gives -3.003 eV per atom. The calculation puts the calculated volume at 339.8 Å³/cell. Its crystal system is orthorhombic. Its space group is No. 43.

Lattice parameters (Å, degrees): 6.875 6.875 8.822 102.37 102.37 116.77
Sites, in units of the cell vectors:
O  0.034  0.511  0.201
O  0.311  0.834  0.799
O  0.935  0.145  0.531
P  0.796  0.296  0.083
O  0.588  0.086  0.666
O  0.395  0.685  0.031
P  0.963  0.963  0.417
Ti  0.392  0.125  0.741
O  0.614  0.403  0.469
O  0.999  0.470  0.804
Ca  0.751  0.751  0.000
O  0.107  0.891  0.527
O  0.720  0.749  0.304
O  0.141  0.857  0.027
P  0.546  0.546  0.583
P  0.213  0.713  0.917
Ti  0.384  0.651  0.259
O  0.667  0.195  0.196
O  0.653  0.364  0.969
O  0.761  0.784  0.701
O  0.173  0.171  0.834
O  0.830  0.114  0.973
O  0.336  0.338  0.166
O  0.364  0.580  0.473
O  0.421  0.923  0.334
Ti  0.375  0.142  0.241
Ca  0.001  0.501  0.500
O  0.445  0.417  0.696
Ti  0.901  0.134  0.759
O  0.084  0.061  0.299


No. 3
The following is a SCAN calculation of a crystal of CaTiP2O relaxed with PBEsol, from Alexandria.

Calculated values
For the uncorrected formation energy, the calculation gives 0.405 eV per atom. Its energy above the most stable polymorph in this dataset is 8.09 eV per formula unit. The calculation puts the calculated volume at 99.2 Å³/cell. Its crystal system is tetragonal. Its space group is No. 123.

Lattice parameters (Å, degrees): 4.005 4.976 4.976 90.00 90.00 90.00
Sites, in units of the cell vectors:
Ca  0.000  0.000  0.000
Ti  0.500  0.500  0.500
P  0.000  0.000  0.500
O  0.500  0.000  0.000
P  0.000  0.500  0.000


No. 4
The following is a SCAN calculation of a crystal of CaTiP3WO12 relaxed with PBEsol, from Alexandria.

Calculated values
For the uncorrected formation energy, the calculation gives -2.630 eV per atom. The calculation puts the calculated volume at 476.7 Å³/cell. Its crystal system is trigonal. Its space group is No. 161.

Lattice parameters (Å, degrees): 8.689 8.689 8.849 60.60 60.60 60.00
Sites, in units of the cell vectors:
P  0.042  0.463  0.748
P  0.463  0.747  0.748
P  0.247  0.963  0.248
Ti  0.854  0.854  0.437
O  0.381  0.202  0.424
P  0.542  0.247  0.248
O  0.943  0.729  0.248
O  0.992  0.381  0.424
O  0.771  0.564  0.252
Ti  0.354  0.354  0.937
P  0.963  0.542  0.248
Ca  0.999  0.999  0.003
O  0.503  0.300  0.074
O  0.412  0.771  0.252
O  0.003  0.622  0.574
O  0.492  0.702  0.924
Ca  0.499  0.499  0.503
O  0.080  0.943  0.248
O  0.564  0.412  0.252
O  0.912  0.064  0.752
O  0.300  0.122  0.074
O  0.622  0.800  0.574
W  0.644  0.644  0.069
O  0.729  0.080  0.248
O  0.702  0.881  0.924
O  0.271  0.912  0.752
O  0.122  0.503  0.074
O  0.800  0.003  0.574
O  0.064  0.271  0.752
W  0.144  0.144  0.569
O  0.881  0.492  0.924
O  0.229  0.443  0.748
P  0.747  0.042  0.748
O  0.580  0.229  0.748
O  0.202  0.992  0.424
O  0.443  0.580  0.748


No. 5
The following is a SCAN calculation of a crystal of CaTlP2O relaxed with PBEsol, from Alexandria.

Calculated values
For the uncorrected formation energy, the calculation gives 0.199 eV per atom. The calculation puts the calculated volume at 111.1 Å³/cell. Its crystal system is tetragonal. Its space group is No. 123.

Lattice parameters (Å, degrees): 4.242 5.118 5.118 90.00 90.00 90.00
Sites, in units of the cell vectors:
P  0.000  0.500  0.000
O  0.500  0.000  0.000
P  0.000  0.000  0.500
Ca  0.500  0.500  0.500
Tl  0.000  0.000  0.000


No. 6
The following is a SCAN calculation of a crystal of CaV2P2O8 relaxed with PBEsol, from Alexandria.

Calculated values
For the uncorrected formation energy, the calculation gives -2.691 eV per atom. The calculation puts the calculated volume at 624.1 Å³/cell. Its crystal system is monoclinic. Its space group is No. 15.

Lattice parameters (Å, degrees): 4.948 8.635 15.462 84.97 80.79 73.35
Sites, in units of the cell vectors:
V  0.825  0.268  0.540
P  0.785  0.596  0.386
O  0.828  0.375  0.106
O  0.172  0.625  0.894
P  0.215  0.404  0.614
O  0.658  0.067  0.064
V  0.300  0.750  0.250
V  0.700  0.250  0.750
O  0.807  0.115  0.447
V  0.367  0.768  0.040
O  0.193  0.885  0.553
O  0.637  0.599  0.306
O  0.342  0.933  0.936
P  0.498  0.578  0.868
O  0.692  0.875  0.606
O  0.363  0.401  0.694
O  0.946  0.177  0.288
P  0.768  0.904  0.114
O  0.411  0.323  0.212
O  0.939  0.101  0.857
Ca  0.813  0.844  0.851
O  0.369  0.385  0.053
P  0.232  0.096  0.886
O  0.137  0.895  0.355
Ca  0.187  0.156  0.149
V  0.500  0.000  0.500
O  0.631  0.615  0.947
O  0.541  0.901  0.194
V  0.633  0.232  0.960
O  0.386  0.605  0.145
O  0.789  0.433  0.436
P  0.944  0.922  0.632
V  0.175  0.732  0.460
O  0.589  0.677  0.788
O  0.817  0.760  0.053
O  0.630  0.740  0.447
P  0.056  0.078  0.368
O  0.211  0.567  0.564
O  0.614  0.395  0.855
O  0.370  0.260  0.553
O  0.459  0.099  0.806
O  0.183  0.240  0.947
O  0.054  0.823  0.712
O  0.102  0.601  0.357
O  0.863  0.105  0.645
P  0.502  0.422  0.132
O  0.308  0.125  0.394
V  0.000  0.500  0.000
O  0.898  0.399  0.643
O  0.061  0.899  0.143
Ca  0.492  0.344  0.351
Ca  0.508  0.656  0.649


No. 7
The following is a SCAN calculation of a crystal of CaV3P4O14 relaxed with PBEsol, from Alexandria.

Calculated values
For the uncorrected formation energy, the calculation gives -2.638 eV per atom. The calculation puts the calculated volume at 500.1 Å³/cell. Its crystal system is monoclinic. Its space group is No. 14.

Lattice parameters (Å, degrees): 7.434 7.695 9.408 90.00 111.66 90.00
Sites, in units of the cell vectors:
P  0.877  0.295  0.189
O  0.273  0.382  0.627
P  0.877  0.205  0.689
V  0.000  0.500  0.500
V  0.811  0.871  0.474
O  0.385  0.191  0.412
O  0.615  0.691  0.088
O  0.823  0.123  0.103
Ca  0.500  0.500  0.500
O  0.604  0.023  0.296
V  0.811  0.629  0.974
O  0.966  0.077  0.609
P  0.123  0.705  0.811
O  0.993  0.216  0.861
P  0.597  0.935  0.706
O  0.385  0.309  0.912
P  0.597  0.565  0.206
O  0.615  0.809  0.588
O  0.177  0.623  0.397
O  0.675  0.122  0.679
Ca  0.500  0.000  0.000
O  0.177  0.877  0.897
O  0.604  0.477  0.796
O  0.966  0.423  0.109
O  0.007  0.716  0.639
P  0.403  0.435  0.794
V  0.189  0.129  0.526
O  0.396  0.977  0.704
O  0.034  0.577  0.891
V  0.189  0.371  0.026
O  0.727  0.882  0.873
O  0.823  0.377  0.603
O  0.325  0.622  0.821
P  0.123  0.795  0.311
O  0.993  0.284  0.361
O  0.273  0.118  0.127
O  0.727  0.618  0.373
O  0.325  0.878  0.321
P  0.403  0.065  0.294
O  0.034  0.923  0.391
V  0.000  0.000  0.000
O  0.675  0.378  0.179
O  0.396  0.523  0.204
O  0.007  0.784  0.139


No. 8
The following is a SCAN calculation of a crystal of CaYP7O20 relaxed with PBEsol, from Alexandria.

Calculated values
For the uncorrected formation energy, the calculation gives -2.665 eV per atom. The calculation puts the calculated volume at 881.0 Å³/cell. Its crystal system is monoclinic. Its space group is No. 15.

Lattice parameters (Å, degrees): 6.906 10.760 12.902 106.86 105.52 90.00
Sites, in units of the cell vectors:
Ca  0.000  0.000  0.000
O  0.155  0.449  0.364
P  0.276  0.258  0.825
O  0.601  0.670  0.231
O  0.056  0.900  0.663
P  0.724  0.742  0.175
P  0.641  0.250  0.000
O  0.181  0.691  0.573
P  0.979  0.037  0.720
O  0.561  0.812  0.105
O  0.399  0.330  0.769
O  0.607  0.400  0.663
O  0.846  0.859  0.278
O  0.439  0.188  0.895
O  0.229  0.409  0.604
O  0.771  0.591  0.396
P  0.250  0.829  0.643
O  0.456  0.688  0.895
O  0.944  0.100  0.337
O  0.433  0.359  0.278
O  0.371  0.830  0.769
P  0.741  0.537  0.720
Y  0.500  0.000  0.500
O  0.792  0.051  0.636
O  0.984  0.049  0.838
O  0.268  0.639  0.022
O  0.608  0.809  0.427
O  0.544  0.312  0.105
O  0.733  0.843  0.890
O  0.753  0.139  0.022
O  0.267  0.157  0.110
O  0.819  0.309  0.427
P  0.607  0.671  0.357
O  0.392  0.191  0.573
O  0.157  0.343  0.890
O  0.016  0.951  0.162
P  0.750  0.171  0.357
P  0.393  0.329  0.643
O  0.146  0.451  0.162
O  0.845  0.551  0.636
O  0.624  0.091  0.396
O  0.732  0.361  0.978
O  0.154  0.141  0.722
P  0.259  0.463  0.280
O  0.629  0.170  0.231
O  0.854  0.549  0.838
O  0.208  0.949  0.364
P  0.359  0.750  0.000
P  0.021  0.963  0.280
P  0.549  0.758  0.825
O  0.376  0.909  0.604
Ca  0.000  0.500  0.000
P  0.451  0.242  0.175
O  0.247  0.861  0.978
O  0.393  0.600  0.337
O  0.843  0.657  0.110
Y  0.000  0.500  0.500
O  0.567  0.641  0.722


No. 9
The following is a SCAN calculation of a crystal of CaZn2P2O8 relaxed with PBEsol, from Alexandria.

Calculated values
For the uncorrected formation energy, the calculation gives -2.524 eV per atom. The calculation puts the calculated volume at 329.2 Å³/cell. Its crystal system is triclinic. Its space group is No. 2.

Lattice parameters (Å, degrees): 4.971 8.411 8.943 113.66 102.37 94.20
Sites, in units of the cell vectors:
P  0.891  0.720  0.306
Zn  0.378  0.609  0.411
O  0.940  0.274  0.520
O  0.060  0.726  0.480
O  0.425  0.288  0.704
O  0.615  0.745  0.957
O  0.565  0.633  0.643
O  0.437  0.048  0.195
O  0.435  0.367  0.357
O  0.990  0.115  0.710
Ca  0.224  0.732  0.055
O  0.007  0.831  0.855
O  0.037  0.441  0.831
O  0.963  0.559  0.169
O  0.010  0.885  0.290
Ca  0.776  0.268  0.945
P  0.684  0.793  0.822
P  0.109  0.280  0.694
O  0.993  0.169  0.145
Zn  0.161  0.920  0.716
Zn  0.622  0.391  0.589
O  0.563  0.952  0.805
O  0.575  0.712  0.296
P  0.316  0.207  0.178
O  0.385  0.255  0.043
Zn  0.839  0.080  0.284


No. 10
The following is a SCAN calculation of a crystal of CaZnP2O relaxed with PBEsol, from Alexandria.

Calculated values
For the uncorrected formation energy, the calculation gives 0.653 eV per atom. Its energy above the most stable polymorph in this dataset is 4.11 eV per formula unit. The calculation puts the calculated volume at 111.0 Å³/cell. Its crystal system is tetragonal. Its space group is No. 123.

Lattice parameters (Å, degrees): 4.055 5.232 5.232 90.00 90.00 90.00
Sites, in units of the cell vectors:
P  0.000  0.500  0.000
Zn  0.500  0.500  0.500
P  0.000  0.000  0.500
O  0.500  0.000  0.000
Ca  0.000  0.000  0.000


No. 11
The following is a SCAN calculation of a crystal of CaZnP2O relaxed with PBEsol, from Alexandria.

Calculated values
For the uncorrected formation energy, the calculation gives -0.169 eV per atom. Its energy above the most stable polymorph in this dataset is 0.00 eV per formula unit. The calculation puts the calculated volume at 88.6 Å³/cell. Its crystal system is tetragonal. Its space group is No. 123.

Lattice parameters (Å, degrees): 3.632 4.939 4.939 90.00 90.00 90.00
Sites, in units of the cell vectors:
O  0.500  0.000  0.000
Zn  0.000  0.000  0.000
Ca  0.500  0.500  0.500
P  0.000  0.000  0.500
P  0.000  0.500  0.000


No. 12
The following is a SCAN calculation of a crystal of CaZr4P6O24 relaxed with PBEsol, from Alexandria.

Calculated values
For the uncorrected formation energy, the calculation gives -3.086 eV per atom. The calculation puts the calculated volume at 512.4 Å³/cell. Its crystal system is trigonal. Its space group is No. 148.

Lattice parameters (Å, degrees): 8.873 8.873 9.095 60.80 60.80 60.00
Sites, in units of the cell vectors:
O  0.701  0.946  0.268
O  0.085  0.701  0.268
O  0.767  0.417  0.253
Ca  0.500  0.500  0.500
O  0.564  0.767  0.253
P  0.258  0.529  0.259
O  0.417  0.564  0.253
Zr  0.138  0.138  0.586
O  0.436  0.233  0.747
O  0.299  0.054  0.732
Zr  0.862  0.862  0.414
P  0.046  0.742  0.741
O  0.233  0.583  0.747
O  0.362  0.987  0.423
O  0.583  0.436  0.747
Zr  0.648  0.648  0.056
O  0.946  0.085  0.268
O  0.509  0.891  0.912
P  0.529  0.954  0.259
P  0.954  0.258  0.259
O  0.312  0.491  0.088
O  0.891  0.688  0.912
O  0.229  0.362  0.423
O  0.491  0.109  0.088
O  0.638  0.013  0.577
O  0.987  0.229  0.423
O  0.688  0.509  0.912
O  0.013  0.771  0.577
Zr  0.352  0.352  0.944
O  0.915  0.299  0.732
O  0.054  0.915  0.732
P  0.471  0.046  0.741
P  0.742  0.471  0.741
O  0.109  0.312  0.088
O  0.771  0.638  0.577


No. 13
The following is a SCAN calculation of a crystal of CaZrPO2 relaxed with PBEsol, from Alexandria.

Calculated values
For the uncorrected formation energy, the calculation gives -2.206 eV per atom. The calculation puts the calculated volume at 87.8 Å³/cell. Its crystal system is tetragonal. Its space group is No. 123.

Lattice parameters (Å, degrees): 4.098 4.098 5.229 90.00 90.00 90.00
Sites, in units of the cell vectors:
Ca  0.500  0.500  0.500
O  0.500  0.000  0.000
Zr  0.000  0.000  0.000
P  0.000  0.000  0.500
O  0.000  0.500  0.000


No. 14
The following is a SCAN calculation of a crystal of Ca3PbO relaxed with PBEsol, from Alexandria.

Calculated values
For the uncorrected formation energy, the calculation gives -1.790 eV per atom. The calculation puts the calculated volume at 110.9 Å³/cell. Its crystal system is cubic. Its space group is No. 221.

Lattice parameters (Å, degrees): 4.804 4.804 4.804 90.00 90.00 90.00
Sites, in units of the cell vectors:
O  0.500  0.500  0.500
Pb  0.000  0.000  0.000
Ca  0.500  0.500  0.000
Ca  0.500  0.000  0.500
Ca  0.000  0.500  0.500